[1]
LaCuAs2Os: optimized geometry, PBE.

Lattice parameters (Å, degrees): 4.551 5.243 4.551 90.00 90.00 90.00
Positions (direct):
As: 0.500 0.000 0.000
Os: 0.500 0.500 0.500
As: 0.000 0.000 0.500
La: 0.000 0.500 0.000
Cu: 0.000 0.000 0.000

Results
- Energy above the lowest structure with this stoichiometry: 3.96 eV per formula unit
- Mass density: 8295 kg/m³
- Energy relative to the elements: 3.61 eV per formula unit

---

[2]
NaMo2Au: optimized geometry, PBE.

Lattice parameters (Å, degrees): 4.583 4.583 4.583 60.00 60.00 60.00
Positions (direct):
Na: 0.000 0.000 0.000
Au: 0.500 0.500 0.500
Mo: 0.250 0.250 0.250
Mo: 0.750 0.750 0.750

Results
- Energy above the lowest structure with this stoichiometry: 0.00 eV per formula unit
- Mass density: 10045 kg/m³
- Energy relative to the elements: 4.46 eV per formula unit

---

[3]
LiSmSnBr6: optimized geometry, PBE.

Lattice parameters (Å, degrees): 7.165 7.165 13.178 90.00 90.00 120.00
Positions (direct):
Br: 0.646 0.656 0.129
Br: 0.656 0.010 0.871
Br: 0.354 0.010 0.629
Sn: 0.000 0.000 0.500
Li: 0.333 0.667 0.250
Br: 0.990 0.344 0.629
Br: 0.010 0.354 0.129
Sm: 0.333 0.667 0.750
Br: 0.010 0.656 0.371
Br: 0.990 0.646 0.871
Sn: 0.000 0.000 0.000
Li: 0.667 0.333 0.750
Br: 0.344 0.354 0.371
Sm: 0.667 0.333 0.250
Br: 0.646 0.990 0.371
Br: 0.344 0.990 0.129
Br: 0.656 0.646 0.629
Br: 0.354 0.344 0.871

Results
- Final energy: -3.701 eV/atom
- Mass density: 4282 kg/m³

---

[4]
CuTe2As: optimized geometry, PBE.

Lattice parameters (Å, degrees): 8.019 8.019 8.019 28.21 28.21 28.21
Positions (direct):
Cu: 0.753 0.753 0.753
Te: 0.228 0.228 0.228
As: 0.484 0.484 0.484
Te: 0.035 0.035 0.035

Results
- Final energy: -3.667 eV/atom
- Mass density: 6419 kg/m³

---

[5]
Pr12Dy7Ho: optimized geometry, PBE.

Lattice parameters (Å, degrees): 8.872 8.872 8.872 88.31 88.31 88.31
Positions (direct):
Dy: 0.855 0.614 0.932
Pr: 0.853 0.257 0.726
Pr: 0.726 0.853 0.257
Pr: 0.147 0.743 0.274
Pr: 0.257 0.726 0.853
Pr: 0.487 0.610 0.140
Pr: 0.743 0.274 0.147
Pr: 0.860 0.513 0.390
Ho: 0.000 0.000 0.000
Dy: 0.932 0.855 0.614
Pr: 0.274 0.147 0.743
Pr: 0.610 0.140 0.487
Dy: 0.145 0.386 0.068
Dy: 0.500 0.500 0.500
Pr: 0.390 0.860 0.513
Dy: 0.614 0.932 0.855
Dy: 0.068 0.145 0.386
Pr: 0.513 0.390 0.860
Dy: 0.386 0.068 0.145
Pr: 0.140 0.487 0.610

Results
- Energy above the lowest structure with this stoichiometry: 0.10 eV per formula unit
- Mass density: 7127 kg/m³
- Energy relative to the elements: 4.50 eV per formula unit

---

[6]
Cd2SbAu: optimized geometry, PBE.

Lattice parameters (Å, degrees): 6.939 5.347 3.364 89.93 61.13 119.80
Positions (direct):
Au: 0.500 0.500 0.000
Cd: 0.000 0.000 0.000
Sb: 0.000 0.500 0.500
Cd: 0.500 0.000 0.500

Results
- Final energy: -2.273 eV/atom
- Mass density: 10037 kg/m³

---

[7]
Fe2SnRhPb: optimized geometry, PBE.

Lattice parameters (Å, degrees): 4.625 5.633 4.625 90.00 90.00 90.00
Positions (direct):
Sn: 0.000 0.000 0.000
Rh: 0.500 0.500 0.500
Fe: 0.500 0.000 0.000
Pb: 0.000 0.500 0.000
Fe: 0.000 0.000 0.500

Results
- Energy above the lowest structure with this stoichiometry: 2.29 eV per formula unit
- Mass density: 7448 kg/m³
- Energy relative to the elements: 7.88 eV per formula unit

---

[8]
Be2WCl: optimized geometry, PBE.

Lattice parameters (Å, degrees): 3.149 3.160 5.632 90.00 90.00 90.00
Positions (direct):
W: 0.500 0.500 0.750
Cl: 0.500 0.500 0.250
Be: 0.000 0.000 0.572
Be: 0.000 0.000 0.928

Results
- Energy above the lowest structure with this stoichiometry: 0.96 eV per formula unit
- Mass density: 7032 kg/m³

---

[9]
LaThRuI: optimized geometry, PBE.

Lattice parameters (Å, degrees): 4.163 4.163 8.697 90.00 103.84 120.00
Positions (direct):
I: 0.967 0.382 0.364
Ru: 0.312 0.554 0.882
Th: 0.087 0.941 0.043
La: 0.512 0.154 0.681

Results
- Final energy: -6.576 eV/atom
- Mass density: 7929 kg/m³

---

[10]
CaMg2AgHg: optimized geometry, PBE.

Lattice parameters (Å, degrees): 5.110 5.333 5.110 90.00 90.00 90.00
Positions (direct):
Hg: 0.000 0.500 0.000
Mg: 0.500 0.000 0.000
Ca: 0.500 0.500 0.500
Mg: 0.000 0.000 0.500
Ag: 0.000 0.000 0.000

Results
- Mass density: 4735 kg/m³
- Energy relative to the elements: 0.02 eV per formula unit

---

[11]
PrSi3Os2: optimized geometry, PBE.

Lattice parameters (Å, degrees): 5.639 6.112 6.112 104.20 90.00 90.00
Positions (direct):
Si: 0.250 0.532 0.895
Os: 0.000 0.799 0.201
Si: 0.250 0.933 0.933
Os: 0.000 0.201 0.799
Si: 0.750 0.067 0.067
Si: 0.250 0.895 0.532
Os: 0.500 0.799 0.201
Si: 0.750 0.105 0.468
Os: 0.500 0.201 0.799
Pr: 0.250 0.339 0.339
Si: 0.750 0.468 0.105
Pr: 0.750 0.661 0.661

Results
- Final energy: -7.756 eV/atom
- Mass density: 9849 kg/m³

---

[12]
KBa: optimized geometry, PBE.

Lattice parameters (Å, degrees): 16.116 16.116 4.190 90.00 90.00 90.00
Positions (direct):
K: 0.093 0.644 0.500
Ba: 0.896 0.845 0.500
K: 0.644 0.907 0.500
Ba: 0.396 0.345 0.000
K: 0.907 0.356 0.500
Ba: 0.345 0.604 0.000
K: 0.407 0.856 0.000
K: 0.856 0.593 0.000
K: 0.356 0.093 0.500
Ba: 0.845 0.104 0.500
Ba: 0.604 0.655 0.000
K: 0.144 0.407 0.000
Ba: 0.155 0.896 0.500
Ba: 0.104 0.155 0.500
Ba: 0.655 0.396 0.000
K: 0.593 0.144 0.000

Results
- Mass density: 2154 kg/m³
- Energy relative to the elements: 0.43 eV per formula unit

---

[13]
CsSrGaTe3: optimized geometry, PBE.

Lattice parameters (Å, degrees): 5.649 9.257 9.720 95.70 90.00 107.76
Positions (direct):
Te: 0.503 0.005 0.264
Te: 0.182 0.364 0.302
Sr: 0.642 0.284 0.522
Te: 0.874 0.748 0.289
Cs: 0.659 0.318 0.018
Sr: 0.358 0.716 0.478
Te: 0.818 0.636 0.698
Te: 0.126 0.252 0.711
Te: 0.497 0.995 0.736
Ga: 0.972 0.944 0.718
Cs: 0.341 0.682 0.982
Ga: 0.028 0.056 0.282

Results
- Final energy: -3.313 eV/atom
- Mass density: 4643 kg/m³

---

[14]
KCe2NiS4: optimized geometry, PBE.

Lattice parameters (Å, degrees): 3.997 7.235 13.619 90.00 90.00 106.03
Positions (direct):
Ce: 0.635 0.270 0.061
K: 0.898 0.795 0.250
Ni: 0.166 0.331 0.250
S: 0.422 0.845 0.750
S: 0.738 0.475 0.884
S: 0.000 0.000 0.000
Ce: 0.365 0.730 0.561
Ce: 0.635 0.270 0.439
Ni: 0.834 0.669 0.750
K: 0.102 0.205 0.750
S: 0.578 0.155 0.250
Ce: 0.365 0.730 0.939
S: 0.000 0.000 0.500
S: 0.262 0.525 0.116
S: 0.738 0.475 0.616
S: 0.262 0.525 0.384

Results
- Final energy: -6.024 eV/atom
- Mass density: 4443 kg/m³

---

[15]
NbRePb2: optimized geometry, PBE.

Lattice parameters (Å, degrees): 4.850 4.850 4.850 60.00 60.00 60.00
Positions (direct):
Pb: 0.250 0.250 0.250
Nb: 0.000 0.000 0.000
Pb: 0.750 0.750 0.750
Re: 0.500 0.500 0.500

Results
- Energy above the lowest structure with this stoichiometry: 0.00 eV per formula unit
- Mass density: 14278 kg/m³
- Energy relative to the elements: 3.55 eV per formula unit

---

[16]
NbCoPdPt2: optimized geometry, PBE.

Lattice parameters (Å, degrees): 4.846 4.343 4.846 90.00 90.00 90.00
Positions (direct):
Co: 0.000 0.500 0.000
Pt: 0.500 0.000 0.000
Pd: 0.500 0.500 0.500
Pt: 0.000 0.000 0.500
Nb: 0.000 0.000 0.000

Results
- Mass density: 10559 kg/m³
- Energy relative to the elements: 5.62 eV per formula unit

---

[17]
Sr2CuI6: optimized geometry, PBE.

Lattice parameters (Å, degrees): 7.596 7.596 13.790 90.00 90.00 90.00
Positions (direct):
I: 0.820 0.180 0.358
I: 0.211 0.789 0.000
I: 0.180 0.820 0.642
I: 0.180 0.820 0.358
I: 0.289 0.289 0.500
I: 0.320 0.320 0.142
I: 0.789 0.211 0.000
Cu: 0.500 0.500 0.000
I: 0.320 0.320 0.858
Cu: 0.000 0.000 0.500
Sr: 0.500 0.500 0.664
Sr: 0.500 0.500 0.336
I: 0.820 0.180 0.642
I: 0.680 0.680 0.858
Sr: 0.000 0.000 0.836
I: 0.680 0.680 0.142
Sr: 0.000 0.000 0.164
I: 0.711 0.711 0.500

Results
- Final energy: -2.906 eV/atom
- Mass density: 4175 kg/m³

---

[18]
YTcAu2: optimized geometry, PBE.

Lattice parameters (Å, degrees): 9.797 9.797 9.797 17.79 17.79 17.79
Positions (direct):
Au: 0.006 0.006 0.006
Y: 0.250 0.250 0.250
Au: 0.494 0.494 0.494
Tc: 0.750 0.750 0.750

Results
- Energy above the lowest structure with this stoichiometry: 1.98 eV per formula unit
- Mass density: 12586 kg/m³
- Energy relative to the elements: 1.26 eV per formula unit

---

[19]
HfTiCrIr: optimized geometry, PBE.

Lattice parameters (Å, degrees): 4.465 4.465 4.465 60.00 60.00 60.00
Positions (direct):
Ti: 0.250 0.250 0.250
Hf: 0.750 0.750 0.750
Cr: 0.000 0.000 0.000
Ir: 0.500 0.500 0.500

Results
- Mass density: 12411 kg/m³
- Energy relative to the elements: -1.98 eV per formula unit

---

[20]
TaInRe2: optimized geometry, PBE.

Lattice parameters (Å, degrees): 7.474 7.474 5.958 51.16 51.16 90.00
Positions (direct):
Ta: 0.750 0.250 0.500
Re: 0.875 0.910 0.750
Ta: 0.000 0.000 0.000
Re: 0.090 0.625 0.250
Re: 0.375 0.340 0.750
In: 0.500 0.500 0.000
In: 0.250 0.750 0.500
Re: 0.660 0.125 0.250

Results
- Mass density: 14440 kg/m³
- Energy relative to the elements: 4.09 eV per formula unit

---

[21]
Dy3Ho6Tm2Pu: optimized geometry, PBE.

Lattice parameters (Å, degrees): 6.080 6.080 11.607 95.03 95.03 119.98
Positions (direct):
Tm: 0.667 0.333 0.000
Dy: 0.167 0.833 0.500
Ho: 0.587 0.917 0.753
Ho: 0.413 0.083 0.247
Ho: 0.752 0.752 0.247
Ho: 0.083 0.413 0.247
Dy: 0.833 0.167 0.500
Ho: 0.917 0.587 0.753
Pu: 0.000 0.000 0.000
Dy: 0.500 0.500 0.500
Ho: 0.248 0.248 0.753
Tm: 0.333 0.667 0.000

Results
- Mass density: 9343 kg/m³
- Energy relative to the elements: 0.51 eV per formula unit

---

[22]
Sn3SbAs4: optimized geometry, PBE.

Lattice parameters (Å, degrees): 4.125 7.111 7.111 109.49 90.00 90.00
Positions (direct):
As: 0.000 0.250 0.250
Sn: 0.000 0.000 0.500
Sb: 0.500 0.000 0.000
Sn: 0.000 0.500 0.000
As: 0.000 0.750 0.750
Sn: 0.500 0.500 0.500
As: 0.500 0.250 0.750
As: 0.500 0.750 0.250

Results
- Final energy: -4.372 eV/atom
- Mass density: 6567 kg/m³

---

[23]
TiNbMo2: optimized geometry, PBE.

Lattice parameters (Å, degrees): 4.526 4.526 4.526 60.00 60.00 60.00
Positions (direct):
Ti: 0.000 0.000 0.000
Mo: 0.750 0.750 0.750
Nb: 0.500 0.500 0.500
Mo: 0.250 0.250 0.250

Results
- Energy above the lowest structure with this stoichiometry: 0.00 eV per formula unit
- Mass density: 8425 kg/m³
- Energy relative to the elements: -0.42 eV per formula unit

---

[24]
YNb2NiBi: optimized geometry, PBE.

Lattice parameters (Å, degrees): 5.193 5.645 5.193 90.00 90.00 90.00
Positions (direct):
Ni: 0.500 0.500 0.500
Y: 0.000 0.500 0.000
Nb: 0.000 0.000 0.500
Nb: 0.500 0.000 0.000
Bi: 0.000 0.000 0.000

Results
- Mass density: 5917 kg/m³
- Energy relative to the elements: 8.75 eV per formula unit